# 1
Material: CsAc4Tl3O12
Method: DFT, PBE-GGA
State: relaxed

Calculated values
- Formation energy without anion corrections: -1.902 eV per atom
- Symmetry: No. 204
- Density of states at the Fermi level: 11.061 states/eV per cell
- Magnetic moment: 2.18 Bohr magnetons per cell

Unit cell a=7.904 b=7.904 c=7.904 alpha=109.47 beta=109.47 gamma=109.47
Fractional coordinates of all 20 atoms:
Cs 0.000 0.000 0.000
Ac 0.000 0.000 0.500
Ac 0.000 0.500 0.000
Ac 0.500 0.000 0.000
Ac 0.500 0.500 0.500
Tl 0.000 0.500 0.500
Tl 0.500 0.000 0.500
Tl 0.500 0.500 0.000
O 0.163 0.835 0.327
O 0.165 0.327 0.492
O 0.165 0.673 0.837
O 0.327 0.163 0.835
O 0.327 0.492 0.165
O 0.492 0.165 0.327
O 0.508 0.835 0.673
O 0.673 0.508 0.835
O 0.673 0.837 0.165
O 0.835 0.327 0.163
O 0.835 0.673 0.508
O 0.837 0.165 0.673

# 2
Material: LaCoCu2
Method: DFT, PBE-GGA
State: relaxed

Calculated values
- Symmetry: No. 122
- Density of states at the Fermi level: 4.379 states/eV per cell
- Magnetic moment: 0.00 Bohr magnetons per cell
- Energy of formation: 0.159 eV/atom

Unit cell a=9.038 b=9.038 c=9.038 alpha=152.38 beta=152.38 gamma=39.46
Fractional coordinates of all 8 atoms:
La 0.000 0.000 0.000
La 0.750 0.250 0.500
Co 0.250 0.750 0.500
Co 0.500 0.500 0.000
Cu 0.302 0.625 0.177
Cu 0.375 0.552 0.677
Cu 0.448 0.125 0.823
Cu 0.875 0.698 0.323

# 3
Material: PrPa2Tc
Method: DFT, PBE-GGA
State: relaxed

Calculated values
- Symmetry: No. 166
- Density of states at the Fermi level: 6.782 states/eV per cell
- Magnetic moment: 0.00 Bohr magnetons per cell
- Energy of formation: 0.216 eV/atom
- Energy relative to the lowest polymorph listed for this composition: 128.8 meV/atom

Unit cell a=10.283 b=10.283 c=10.283 alpha=18.81 beta=18.81 gamma=18.81
Fractional coordinates of all 4 atoms:
Pr 0.000 0.000 0.000
Pa 0.237 0.237 0.237
Pa 0.763 0.763 0.763
Tc 0.500 0.500 0.500